Run i
{"formula": "NdTeSe2", "functional": "PBE", "state": "relaxed", "cell": [[4.100, 0.000, 0.000], [0.000, 25.834, 0.000], [0.000, 0.000, 4.153]], "species": ["Nd", "Nd", "Nd", "Nd", "Te", "Te", "Te", "Te", "Se", "Se", "Se", "Se", "Se", "Se", "Se", "Se"], "frac_coords": [[0.000, 0.175, 0.250], [0.000, 0.825, 0.750], [0.500, 0.325, 0.750], [0.500, 0.675, 0.250], [0.000, 0.073, 0.750], [0.000, 0.927, 0.250], [0.500, 0.427, 0.250], [0.500, 0.573, 0.750], [0.000, 0.294, 0.250], [0.000, 0.421, 0.750], [0.000, 0.579, 0.250], [0.000, 0.706, 0.750], [0.500, 0.079, 0.250], [0.500, 0.206, 0.750], [0.500, 0.794, 0.250], [0.500, 0.921, 0.750]], "space_group": "Cmcm (63)"}



Run ii
{"formula": "NdTeSe2", "functional": "PBE", "state": "relaxed", "cell": [[4.108, 0.000, 0.000], [0.000, 26.948, 0.000], [0.000, 0.000, 4.108]], "species": ["Nd", "Nd", "Nd", "Nd", "Te", "Te", "Te", "Te", "Se", "Se", "Se", "Se", "Se", "Se", "Se", "Se"], "frac_coords": [[0.000, 0.162, 0.250], [0.000, 0.838, 0.750], [0.500, 0.338, 0.750], [0.500, 0.662, 0.250], [0.000, 0.292, 0.250], [0.000, 0.708, 0.750], [0.500, 0.208, 0.750], [0.500, 0.792, 0.250], [0.000, 0.077, 0.750], [0.000, 0.423, 0.750], [0.000, 0.577, 0.250], [0.000, 0.923, 0.250], [0.500, 0.077, 0.250], [0.500, 0.423, 0.250], [0.500, 0.577, 0.750], [0.500, 0.923, 0.750]], "space_group": "Cmcm (63)"}



The structure with the least stability is run ii.



Run i
{"formula": "NdZrSi2", "functional": "PBE", "state": "relaxed", "cell": [[5.664, 0.000, 0.000], [0.000, 3.853, 0.000], [-0.305, 0.000, 7.617]], "species": ["Nd", "Nd", "Zr", "Zr", "Si", "Si", "Si", "Si"], "frac_coords": [[0.125, 0.250, 0.181], [0.875, 0.750, 0.819], [0.385, 0.250, 0.675], [0.615, 0.750, 0.325], [0.143, 0.750, 0.471], [0.374, 0.750, 0.954], [0.626, 0.250, 0.046], [0.857, 0.250, 0.529]], "space_group": "P2_1/m (11)"}



Run ii
{"formula": "NdZrSi2", "functional": "PBE", "state": "relaxed", "cell": [[3.833, 0.000, 0.000], [0.000, 7.757, 0.000], [0.000, 0.000, 5.565]], "species": ["Nd", "Nd", "Zr", "Zr", "Si", "Si", "Si", "Si"], "frac_coords": [[0.000, 0.073, 0.000], [0.500, 0.927, 0.500], [0.000, 0.565, 0.260], [0.500, 0.435, 0.760], [0.000, 0.235, 0.512], [0.000, 0.691, 0.745], [0.500, 0.309, 0.245], [0.500, 0.765, 0.012]], "space_group": "Pmn2_1 (31)"}



Run iii
{"formula": "NdZrSi2", "functional": "PBE", "state": "relaxed", "cell": [[3.836, 0.000, 0.000], [0.000, 5.673, 0.000], [0.000, 0.000, 7.656]], "species": ["Nd", "Nd", "Zr", "Zr", "Si", "Si", "Si", "Si"], "frac_coords": [[0.000, 0.128, 0.000], [0.000, 0.872, 0.500], [0.500, 0.375, 0.641], [0.500, 0.625, 0.141], [0.000, 0.391, 0.362], [0.000, 0.609, 0.862], [0.500, 0.137, 0.288], [0.500, 0.863, 0.788]], "space_group": "Pmc2_1 (26)"}



The structure with the least stability is run iii.